BaNa2Tl5: optimized geometry, PBE.

The final energy is -35.16 eV for the cell shown. As for the energy of formation from the pure elements: -149 meV per atom. As for the theoretical density: 7.5 g cm⁻³.

Cell: 4.392 8.332 14.549 Å, 90.00 90.00 90.00°
Space group Immm (No. 71)
Inequivalent atoms, fractional coordinates:
Ba1 0.000 0.000 0.000 (multiplicity 2)
Na1 0.000 0.500 0.243 (multiplicity 4)
Tl1 0.000 0.203 0.382 (multiplicity 8)
Tl2 0.000 0.500 0.000 (multiplicity 2)

SmGdMgPd: optimized geometry, PBE.

The final energy is -108.26 eV for the cell shown. As for the energy of formation from the pure elements: -369 meV per atom. As for the theoretical density: 7.3 g cm⁻³.

Cell: 7.362 7.362 7.362 Å, 90.00 90.00 90.00°
Space group F-43m (No. 216)
Inequivalent atoms, fractional coordinates:
Sm1 0.000 0.000 0.000 (multiplicity 4)
Gd1 0.000 0.000 0.500 (multiplicity 4)
Mg1 0.250 0.250 0.250 (multiplicity 4)
Pd1 0.250 0.250 0.750 (multiplicity 4)

Question: What is the formula in the first record?
Answer: BaNa2Tl5